Zr2TiPd: optimized geometry, GGA-PBE.

Cell and atoms, written as CIF:
```
data_Zr2TiPd
_chemical_formula_sum 'Zr4 Ti2 Pd2'
_symmetry_space_group_name_H-M 'P 1'
_symmetry_Int_Tables_number 1
_cell_length_a 4.009
_cell_length_b 4.009
_cell_length_c 10.515
_cell_angle_alpha 79.01
_cell_angle_beta 79.01
_cell_angle_gamma 90.00
loop_
_symmetry_equiv_pos_as_xyz
'x,y,z'
loop_
_atom_site_label
_atom_site_type_symbol
_atom_site_fract_x
_atom_site_fract_y
_atom_site_fract_z
Zr1 Zr 0.628 0.125 0.250
Zr2 Zr 0.122 0.625 0.250
Zr3 Zr 0.375 0.372 0.750
Zr4 Zr 0.875 0.878 0.750
Pd1 Pd 0.000 0.000 0.000
Pd2 Pd 0.750 0.250 0.500
Ti1 Ti 0.500 0.500 0.000
Ti2 Ti 0.250 0.750 0.500
```

Values from the calculation:
- energy (eV/atom) = -7.343
- size of the total moment (μB per cell) = 0.00
- space-group type = I-42d
- crystal system = tetragonal

=====

Na2Te6Rh3: optimized geometry, GGA-PBE.

Cell and atoms, written as CIF:
```
data_Na2Te6Rh3
_chemical_formula_sum 'Na2 Te6 Rh3'
_symmetry_space_group_name_H-M 'P 1'
_symmetry_Int_Tables_number 1
_cell_length_a 6.865
_cell_length_b 6.864
_cell_length_c 7.887
_cell_angle_alpha 81.62
_cell_angle_beta 73.05
_cell_angle_gamma 59.99
loop_
_symmetry_equiv_pos_as_xyz
'x,y,z'
loop_
_atom_site_label
_atom_site_type_symbol
_atom_site_fract_x
_atom_site_fract_y
_atom_site_fract_z
Na1 Na 0.166 0.668 0.500
Na2 Na 0.834 0.332 0.500
Te1 Te 0.395 0.665 0.816
Te2 Te 0.731 0.000 0.812
Te3 Te 0.060 0.335 0.816
Te4 Te 0.269 0.000 0.188
Te5 Te 0.605 0.335 0.184
Te6 Te 0.940 0.665 0.184
Rh1 Rh 0.000 0.000 0.000
Rh2 Rh 0.333 0.334 0.000
Rh3 Rh 0.667 0.666 0.000
```

Values from the calculation:
- size of the total moment (μB per cell) = 0.00
- space-group type = C2/m
- crystal system = monoclinic
- uncorrected formation energy (eV per formula unit) = -5.518

=====

Na6AgPd2: optimized geometry, GGA-PBE.

Cell and atoms, written as CIF:
```
data_Na6AgPd2
_chemical_formula_sum 'Na6 Ag1 Pd2'
_symmetry_space_group_name_H-M 'P 1'
_symmetry_Int_Tables_number 1
_cell_length_a 5.078
_cell_length_b 5.059
_cell_length_c 10.332
_cell_angle_alpha 103.82
_cell_angle_beta 90.00
_cell_angle_gamma 120.12
loop_
_symmetry_equiv_pos_as_xyz
'x,y,z'
loop_
_atom_site_label
_atom_site_type_symbol
_atom_site_fract_x
_atom_site_fract_y
_atom_site_fract_z
Na1 Na 0.580 0.159 0.734
Na2 Na 0.808 0.617 0.427
Na3 Na 0.701 0.401 0.104
Na4 Na 0.192 0.383 0.573
Na5 Na 0.420 0.841 0.266
Na6 Na 0.299 0.599 0.896
Ag1 Ag 0.000 0.000 0.000
Pd1 Pd 0.912 0.824 0.728
Pd2 Pd 0.088 0.176 0.272
```

Values from the calculation:
- energy (eV/atom) = -2.401
- size of the total moment (μB per cell) = 0.00
- space-group type = C2/m
- crystal system = monoclinic

=====

Tm2GaNi3: optimized geometry, GGA-PBE.

Cell and atoms, written as CIF:
```
data_Tm2GaNi3
_chemical_formula_sum 'Tm4 Ga2 Ni6'
_symmetry_space_group_name_H-M 'P 1'
_symmetry_Int_Tables_number 1
_cell_length_a 5.190
_cell_length_b 5.190
_cell_length_c 8.145
_cell_angle_alpha 90.00
_cell_angle_beta 90.00
_cell_angle_gamma 120.00
loop_
_symmetry_equiv_pos_as_xyz
'x,y,z'
loop_
_atom_site_label
_atom_site_type_symbol
_atom_site_fract_x
_atom_site_fract_y
_atom_site_fract_z
Tm1 Tm 0.667 0.333 0.440
Tm2 Tm 0.333 0.667 0.560
Tm3 Tm 0.333 0.667 0.940
Tm4 Tm 0.667 0.333 0.060
Ga1 Ga 0.000 0.000 0.500
Ga2 Ga 0.000 0.000 0.000
Ni1 Ni 0.169 0.338 0.250
Ni2 Ni 0.338 0.169 0.750
Ni3 Ni 0.831 0.662 0.750
Ni4 Ni 0.169 0.831 0.250
Ni5 Ni 0.831 0.169 0.750
Ni6 Ni 0.662 0.831 0.250
```

Values from the calculation:
- energy (eV/atom) = -5.447
- size of the total moment (μB per cell) = 0.00
- space-group type = P6_3/mmc
- crystal system = hexagonal

=====

Result set for calculated volume: 81.39, 307.86, 220.66, 95.01 Å³/f.u., one per record in the order listed.